# 1
VASP calculation (GGA-PBEsol) on an optimized crystal structure of DyHO2. Values from VASP.

```
&SYSTEM
  ibrav = 0, nat = 8, ntyp = 3
/
ATOMIC_SPECIES
H 1.01 H.upf
O 16.00 O.upf
Dy 162.50 Dy.upf
ATOMIC_POSITIONS crystal
H 0.3333 0.6667 0.2500
H 0.6667 0.3333 0.7500
O 0.3333 0.6667 0.3833
O 0.3333 0.6667 0.1167
O 0.6667 0.3333 0.6167
O 0.6667 0.3333 0.8833
Dy 0.0000 0.0000 0.5000
Dy 0.0000 0.0000 0.0000
CELL_PARAMETERS angstrom
-2.2952 -1.2636 2.2953
3.1408 -1.4731 -0.3133
3.2873 5.6488 6.3970
```

Properties
Calculated total energy: -7.31 eV/atom
Space-group type: P6_3/mmc, No. 194

---

# 2
VASP calculation (GGA-PBEsol) on an optimized crystal structure of DyHO2. Values from VASP.

```
&SYSTEM
  ibrav = 0, nat = 16, ntyp = 3
/
ATOMIC_SPECIES
Dy 162.50 Dy.upf
H 1.01 H.upf
O 16.00 O.upf
ATOMIC_POSITIONS crystal
Dy 0.2500 0.1114 0.8571
Dy 0.2500 0.3886 0.3571
Dy 0.7500 0.6114 0.6429
Dy 0.7500 0.8886 0.1429
H 0.2500 0.1401 0.6051
H 0.2500 0.3599 0.1051
H 0.7500 0.6401 0.8949
H 0.7500 0.8599 0.3949
O 0.2500 0.1683 0.0717
O 0.7500 0.1356 0.3143
O 0.7500 0.3644 0.8143
O 0.2500 0.3317 0.5717
O 0.7500 0.6683 0.4283
O 0.2500 0.6356 0.1857
O 0.2500 0.8644 0.6857
O 0.7500 0.8317 0.9283
CELL_PARAMETERS angstrom
3.5038 0.0000 0.0000
0.0000 4.9978 0.0000
0.0000 0.0000 10.6747
```

Properties
Calculated total energy: -7.38 eV/atom
Space-group type: Pnma, No. 62

---

# 3
VASP calculation (GGA-PBEsol) on an optimized crystal structure of DyHO2. Values from VASP.

```
&SYSTEM
  ibrav = 0, nat = 8, ntyp = 3
/
ATOMIC_SPECIES
H 1.01 H.upf
O 16.00 O.upf
Dy 162.50 Dy.upf
ATOMIC_POSITIONS crystal
H 0.5000 0.1963 0.9651
H 0.0000 0.8037 0.4651
O 0.5000 0.0194 0.8559
O 0.0000 0.5226 0.6179
O 0.0000 0.9806 0.3559
O 0.5000 0.4774 0.1179
Dy 0.0000 0.7245 0.9839
Dy 0.5000 0.2755 0.4839
CELL_PARAMETERS angstrom
3.4721 0.0000 0.0000
0.0000 4.7921 0.0000
0.0000 0.0000 5.4078
```

Properties
Calculated total energy: -7.37 eV/atom
Space-group type: Pmn2_1, No. 31

---

# 4
VASP calculation (GGA-PBEsol) on an optimized crystal structure of Dy2Hf2O7. Values from VASP.

```
&SYSTEM
  ibrav = 0, nat = 22, ntyp = 3
/
ATOMIC_SPECIES
Dy 162.50 Dy.upf
Hf 178.49 Hf.upf
O 16.00 O.upf
ATOMIC_POSITIONS crystal
Dy 0.6250 0.6250 0.1250
Dy 0.6250 0.1250 0.6250
Dy 0.6250 0.6250 0.6250
Dy 0.1250 0.6250 0.6250
Hf 0.1250 0.1250 0.6250
Hf 0.1250 0.6250 0.1250
Hf 0.1250 0.1250 0.1250
Hf 0.6250 0.1250 0.1250
O 0.5000 0.5000 0.5000
O 0.7500 0.7500 0.7500
O 0.2143 0.2143 0.7857
O 0.4643 0.4643 0.0357
O 0.7857 0.2143 0.7857
O 0.2143 0.7857 0.7857
O 0.7857 0.2143 0.2143
O 0.2143 0.7857 0.2143
O 0.7857 0.7857 0.2143
O 0.4643 0.0357 0.0357
O 0.0357 0.4643 0.4643
O 0.0357 0.0357 0.4643
O 0.0357 0.4643 0.0357
O 0.4643 0.0357 0.4643
CELL_PARAMETERS angstrom
-6.1072 2.7569 -2.9889
-1.5049 -1.2392 -7.0733
-5.5191 -4.4670 -1.8485
```

Properties
Space-group type: Fd-3m, No. 227
Raw formation energy: -3839 kJ/mol of formula units

---

# 5
VASP calculation (GGA-PBEsol) on an optimized crystal structure of DyHg2. Values from VASP.

```
&SYSTEM
  ibrav = 0, nat = 3, ntyp = 2
/
ATOMIC_SPECIES
Hg 200.59 Hg.upf
Dy 162.50 Dy.upf
ATOMIC_POSITIONS crystal
Hg 0.0000 0.3333 0.6667
Hg 0.0000 0.6667 0.3333
Dy 0.5000 0.0000 0.0000
CELL_PARAMETERS angstrom
-0.7019 -2.9948 -1.3597
2.1117 -2.2032 3.7624
-4.7288 1.0423 0.1455
```

Properties
Space-group type: P6/mmm, No. 191
Formation energy: -0.516 eV/atom

---

# 6
VASP calculation (GGA-PBEsol) on an optimized crystal structure of LiDyHg2. Values from VASP.

```
&SYSTEM
  ibrav = 0, nat = 4, ntyp = 3
/
ATOMIC_SPECIES
Dy 162.50 Dy.upf
Hg 200.59 Hg.upf
Li 6.94 Li.upf
ATOMIC_POSITIONS crystal
Dy 0.5000 0.5000 0.5000
Hg 0.2500 0.2500 0.2500
Hg 0.7500 0.7500 0.7500
Li 0.0000 0.0000 0.0000
CELL_PARAMETERS angstrom
-3.7751 -1.0679 -2.9835
-3.5050 -3.1312 1.4845
-4.5169 1.6726 1.0455
```

Properties
Space-group type: Fm-3m, No. 225
Formation energy: -0.528 eV/atom

---

# 7
VASP calculation (GGA-PBEsol) on an optimized crystal structure of DyMgHg2. Values from VASP.

```
&SYSTEM
  ibrav = 0, nat = 4, ntyp = 3
/
ATOMIC_SPECIES
Mg 24.30 Mg.upf
Hg 200.59 Hg.upf
Dy 162.50 Dy.upf
ATOMIC_POSITIONS crystal
Mg 0.0000 0.0000 0.0000
Hg 0.2500 0.2500 0.2500
Hg 0.7500 0.7500 0.7500
Dy 0.5000 0.5000 0.5000
CELL_PARAMETERS angstrom
-0.7572 2.1528 4.4338
0.1899 -2.7357 4.1648
3.7994 0.5611 3.1806
```

Properties
Space-group type: Fm-3m, No. 225
Formation energy: -0.562 eV/atom

---

# 8
VASP calculation (GGA-PBEsol) on an optimized crystal structure of PmDyHg2. Values from VASP.

```
&SYSTEM
  ibrav = 0, nat = 4, ntyp = 3
/
ATOMIC_SPECIES
Dy 162.50 Dy.upf
Hg 200.59 Hg.upf
Pm 145.00 Pm.upf
ATOMIC_POSITIONS crystal
Dy 0.5000 0.5000 0.5000
Hg 0.2500 0.2500 0.2500
Hg 0.7500 0.7500 0.7500
Pm 0.0000 0.0000 0.0000
CELL_PARAMETERS angstrom
-4.7410 -0.0371 -2.2007
-3.1303 -4.1419 0.6060
-4.2720 0.3678 2.9895
```

Properties
Space-group type: Fm-3m, No. 225
Formation energy: -0.556 eV/atom

---

Which formula does entry 1 have?
DyHO2

---

Please write out number 7 again, unchanged.
VASP calculation (GGA-PBEsol) on an optimized crystal structure of DyMgHg2. Values from VASP.

```
&SYSTEM
  ibrav = 0, nat = 4, ntyp = 3
/
ATOMIC_SPECIES
Mg 24.30 Mg.upf
Hg 200.59 Hg.upf
Dy 162.50 Dy.upf
ATOMIC_POSITIONS crystal
Mg 0.0000 0.0000 0.0000
Hg 0.2500 0.2500 0.2500
Hg 0.7500 0.7500 0.7500
Dy 0.5000 0.5000 0.5000
CELL_PARAMETERS angstrom
-0.7572 2.1528 4.4338
0.1899 -2.7357 4.1648
3.7994 0.5611 3.1806
```

Properties
Space-group type: Fm-3m, No. 225
Formation energy: -0.562 eV/atom